## ZnCoPd6 (GGA-PBE)

Data for crystalline ZnCoPd6 at its relaxed geometry.

Calculated values
formation energy	-0.126	eV per atom
E	-5.068	eV per atom
space group	P4/mmm (123)

Lattice parameters (Å, degrees): 3.886 3.886 7.806 90.00 90.00 90.00
Fractional positions:
Zn (0.000, 0.000, 0.000)
Co (0.000, 0.000, 0.500)
Pd (0.000, 0.500, 0.255)
Pd (0.000, 0.500, 0.745)
Pd (0.500, 0.000, 0.255)
Pd (0.500, 0.000, 0.745)
Pd (0.500, 0.500, 0.000)
Pd (0.500, 0.500, 0.500)

***

## LiPuMg (GGA-PBE)

Data for crystalline LiPuMg at its relaxed geometry.

Calculated values
formation energy	0.110	eV per atom
E	-5.837	eV per atom
polymorph energy (0 for the lowest one)	0.0	kJ per mole of atoms
space group	C2/m (12)

Lattice parameters (Å, degrees): 3.383 3.383 11.320 90.74 90.74 77.56
Fractional positions:
Li (0.243, 0.243, 0.421)
Li (0.757, 0.757, 0.579)
Pu (0.198, 0.198, 0.044)
Pu (0.802, 0.802, 0.956)
Mg (0.272, 0.272, 0.748)
Mg (0.728, 0.728, 0.252)

***

## UAs2Ru2 (GGA-PBE)

Data for crystalline UAs2Ru2 at its relaxed geometry.

Calculated values
formation energy	-0.353	eV per atom
E	-8.181	eV per atom
space group	C2/c (15)

Lattice parameters (Å, degrees): 6.309 6.309 7.059 123.92 123.92 75.43
Fractional positions:
U (0.125, 0.875, 0.750)
U (0.875, 0.125, 0.250)
As (0.172, 0.423, 0.845)
As (0.423, 0.172, 0.345)
As (0.577, 0.828, 0.655)
As (0.828, 0.577, 0.155)
Ru (0.175, 0.825, 0.250)
Ru (0.426, 0.574, 0.750)
Ru (0.574, 0.426, 0.250)
Ru (0.825, 0.175, 0.750)

***

## ZrHg2Sb (GGA-PBE)

Data for crystalline ZrHg2Sb at its relaxed geometry.

Calculated values
E	-3.452	eV per atom
ΔE_f (raw)	-133.9	meV per atom
space group	Cm (8)

Lattice parameters (Å, degrees): 5.807 5.807 5.796 114.17 114.17 32.63
Fractional positions:
Zr (0.000, 0.000, 0.000)
Hg (0.287, 0.287, 0.566)
Hg (0.529, 0.529, 0.465)
Sb (0.733, 0.733, 0.030)

***

## Tm6BiSb2Se3 (GGA-PBE)

Data for crystalline Tm6BiSb2Se3 at its relaxed geometry.

Calculated values
E	-5.427	eV per atom
ΔE_f (raw)	-1309.2	meV per atom
space group	C2/m (12)

Lattice parameters (Å, degrees): 9.388 9.388 8.381 102.84 102.84 25.87
Fractional positions:
Tm (0.003, 0.003, 0.236)
Tm (0.328, 0.328, 0.422)
Tm (0.336, 0.336, 0.911)
Tm (0.664, 0.664, 0.089)
Tm (0.672, 0.672, 0.578)
Tm (0.997, 0.997, 0.764)
Bi (0.500, 0.500, 0.500)
Sb (0.166, 0.166, 0.832)
Sb (0.834, 0.834, 0.168)
Se (0.166, 0.166, 0.332)
Se (0.500, 0.500, 0.000)
Se (0.834, 0.834, 0.668)

***

## HfMg2BiO6 (GGA-PBE)

Data for crystalline HfMg2BiO6 at its relaxed geometry.

Calculated values
E	-7.077	eV per atom
ΔE_f (raw)	-2399.3	meV per atom
space group	R3 (146)

Lattice parameters (Å, degrees): 5.771 5.771 5.771 56.09 56.09 56.09
Fractional positions:
Hf (0.000, 0.000, 0.000)
Mg (0.293, 0.293, 0.293)
Mg (0.789, 0.789, 0.789)
Bi (0.504, 0.504, 0.504)
O (0.083, 0.704, 0.391)
O (0.169, 0.597, 0.925)
O (0.391, 0.083, 0.704)
O (0.597, 0.925, 0.169)
O (0.704, 0.391, 0.083)
O (0.925, 0.169, 0.597)

***

## Mn3SbBr (GGA-PBE)

Data for crystalline Mn3SbBr at its relaxed geometry.

Calculated values
E	-5.905	eV per atom
ΔE_f (raw)	755.3	meV per atom
polymorph energy (0 for the lowest one)	0.0	kJ per mole of atoms
space group	Pm-3m (221)

Lattice parameters (Å, degrees): 5.176 5.176 5.176 90.00 90.00 90.00
Fractional positions:
Mn (0.000, 0.000, 0.500)
Mn (0.000, 0.500, 0.000)
Mn (0.500, 0.000, 0.000)
Sb (0.000, 0.000, 0.000)
Br (0.500, 0.500, 0.500)

***

## SrSc2ZnTe (GGA-PBE)

Data for crystalline SrSc2ZnTe at its relaxed geometry.

Calculated values
E	-2.727	eV per atom
ΔE_f (raw)	1025.6	meV per atom
space group	P4/mmm (123)

Lattice parameters (Å, degrees): 5.739 5.739 5.838 90.00 90.00 90.00
Fractional positions:
Sr (0.000, 0.000, 0.000)
Sc (0.000, 0.500, 0.000)
Sc (0.500, 0.000, 0.000)
Zn (0.500, 0.500, 0.500)
Te (0.000, 0.000, 0.500)

***

Q: E of number 5 (Tm6BiSb2Se3)?
A: -5.427 eV per atom